5
Lattice="-4.0859 -2.2634 1.3235 0.4563 -3.1179 -3.9235 2.5847 -3.0656 2.7368" Properties=species:S:1:pos:R:3 comment="ScBiBCl2 | the Alexandria database | PBE | optimized geometry" n_ef_per_ev_cell=4.59 formation_energy_uncorrected_mev_per_atom=12 final_energy_ev_per_atom=-4.104 total_magnetization_mub_per_atom=0.0003 pbc="T T T"
Sc 0.0000 0.0000 0.0000
Cl 1.2924 -1.5328 1.3684
Cl -2.0429 -1.1317 0.6617
Bi -0.5224 -4.2235 0.0684
B 0.2281 -1.5590 -1.9617